Below is a relaxed structure of PuMoP2, with properties calculated at the PBE level.

Output
The offset from the most stable computed form is 4 meV per atom. The value obtained for the energy of formation is -16.6 kcal/mol of atoms. For the total energy, the calculation gives -9.72 eV per atom.

Lattice parameters (Å, degrees): 3.7681 3.7681 17.5663 90.00 90.00 120.00
Space group R-3m (No. 166, hexagonal axes)
Inequivalent atoms, fractional coordinates:
Pu (0.0000, 0.0000, 0.0000) x3
Mo (0.0000, 0.0000, 0.5000) x3
P (0.0000, 0.0000, 0.2397) x6

***

Below is a relaxed structure of Cs2Tl3Sn4Pb, with properties calculated at the PBE level.

Output
The value obtained for the energy of formation is -2.1 kcal/mol of atoms. For the total energy, the calculation gives -2.94 eV per atom.

Lattice parameters (Å, degrees): 5.472 5.472 12.303 90.00 90.00 90.00
Space group P-4m2 (No. 115)
Inequivalent atoms, fractional coordinates:
Cs (0.000, 0.500, 0.250) x2
Tl (0.000, 0.000, 0.000) x1
Tl (0.000, 0.500, 0.626) x2
Sn (0.000, 0.000, 0.500) x1
Sn (0.000, 0.500, 0.875) x2
Sn (0.500, 0.500, 0.500) x1
Pb (0.500, 0.500, 0.000) x1

***

Below is a relaxed structure of MnTc5Ge6, with properties calculated at the PBE level.

Output
The value obtained for the energy of formation is 1.1 kcal/mol of atoms. For the total energy, the calculation gives -7.35 eV per atom.

Lattice parameters (Å, degrees): 5.071 8.848 8.174 90.00 101.80 90.00
Space group C2/m (No. 12)
Inequivalent atoms, fractional coordinates:
Mn (0.000, 0.000, 0.000) x2
Tc (0.000, 0.160, 0.500) x4
Tc (0.000, 0.331, 0.000) x4
Tc (0.000, 0.500, 0.500) x2
Ge (0.241, 0.500, 0.247) x4
Ge (0.243, 0.329, 0.746) x8

***

Below is a relaxed structure of YHoAs2Rh5, with properties calculated at the PBE level.

Output
The value obtained for the energy of formation is -18.6 kcal/mol of atoms. For the total energy, the calculation gives -7.15 eV per atom.

Lattice parameters (Å, degrees): 4.222 4.222 8.799 90.00 90.00 90.00
Space group P4/mmm (No. 123)
Inequivalent atoms, fractional coordinates:
Y (0.000, 0.000, 0.000) x1
Ho (0.000, 0.000, 0.500) x1
As (0.500, 0.500, 0.146) x2
Rh (0.000, 0.500, 0.270) x4
Rh (0.500, 0.500, 0.500) x1

***

Below is a relaxed structure of Li4LaNi, with properties calculated at the PBE level.

Output
The value obtained for the energy of formation is 3.2 kcal/mol of atoms. For the total energy, the calculation gives -2.92 eV per atom.

Lattice parameters (Å, degrees): 7.567 7.567 7.567 90.00 90.00 90.00
Space group F-43m (No. 216)
Inequivalent atoms, fractional coordinates:
Li (0.122, 0.122, 0.122) x16
La (0.000, 0.000, 0.500) x4
Ni (0.250, 0.250, 0.750) x4

***

Below is a relaxed structure of CsTeAu2N, with properties calculated at the PBE level.

Output
The value obtained for the formation energy (no corrections) is 335 kJ/mol of formula units. For the total energy, the calculation gives -3.08 eV per atom.

Lattice parameters (Å, degrees): 4.827 4.827 5.198 90.00 90.00 90.00
Space group P4/mmm (No. 123)
Inequivalent atoms, fractional coordinates:
Cs (0.000, 0.000, 0.000) x1
Te (0.500, 0.500, 0.000) x1
Au (0.000, 0.500, 0.500) x2
N (0.500, 0.500, 0.500) x1